## A
The following is a DFT calculation (GGA+U) of an optimized crystal structure of NiPb3F.

Computed properties:
Symmetry   Pm-3m, No. 221
D(E_F)   4.1 states/eV per cell
ρ   8.9 Mg/m³
Magnetization   0.00 μB/f.u.

Unit cell a=5.0667 b=5.0667 c=5.0667 alpha=90.00 beta=90.00 gamma=90.00
Sites, in units of the cell vectors:
Pb: 0.0000 0.0000 0.5000
Pb: 0.0000 0.5000 0.0000
F: 0.5000 0.5000 0.5000
Ni: 0.0000 0.0000 0.0000
Pb: 0.5000 0.0000 0.0000

***

## B
The following is a DFT calculation (GGA+U) of an optimized crystal structure of NiPb3F.

Computed properties:
Symmetry   Pm-3m, No. 221
D(E_F)   3.9 states/eV per cell
ρ   9.3 Mg/m³
Magnetization   0.00 μB/f.u.

Unit cell a=4.9936 b=4.9936 c=4.9936 alpha=90.00 beta=90.00 gamma=90.00
Sites, in units of the cell vectors:
Pb: 0.0000 0.0000 0.5000
Ni: 0.5000 0.5000 0.5000
Pb: 0.0000 0.5000 0.0000
Pb: 0.5000 0.0000 0.0000
F: 0.0000 0.0000 0.0000

***

The data favor A; the next most stable structure lies 189 meV per atom above it.

***

## A
The following is a DFT calculation (GGA+U) of an optimized crystal structure of NiPbF2.

Computed properties:
Symmetry   I-42d, No. 122
D(E_F)   2.4 states/eV per cell
ρ   6.4 Mg/m³
Magnetization   1.96 μB/f.u.

Unit cell a=5.5082 b=5.5082 c=6.4631 alpha=64.78 beta=64.78 gamma=90.00
Sites, in units of the cell vectors:
F: 0.3750 0.5411 0.7500
Pb: 0.7500 0.2500 0.5000
Pb: 0.0000 0.0000 0.0000
F: 0.8750 0.7089 0.7500
Ni: 0.2500 0.7500 0.5000
F: 0.2911 0.6250 0.2500
F: 0.4589 0.1250 0.2500
Ni: 0.5000 0.5000 0.0000

***

## B
The following is a DFT calculation (GGA+U) of an optimized crystal structure of NiPbF2.

Computed properties:
Symmetry   Fm-3m, No. 225
D(E_F)   0.0 states/eV per cell
ρ   8.8 Mg/m³
Magnetization   0.00 μB/f.u.

Unit cell a=4.3203 b=4.3203 c=4.3203 alpha=60.00 beta=60.00 gamma=60.00
Sites, in units of the cell vectors:
Pb: 0.5000 0.5000 0.5000
Ni: 0.0000 0.0000 0.0000
F: 0.7500 0.7500 0.7500
F: 0.2500 0.2500 0.2500

***

## C
The following is a DFT calculation (GGA+U) of an optimized crystal structure of NiPbF2.

Computed properties:
Symmetry   R-3m, No. 166
D(E_F)   0.8 states/eV per cell
ρ   7.0 Mg/m³
Magnetization   0.85 μB/f.u.

Unit cell a=7.9057 b=7.9057 c=7.9057 alpha=24.13 beta=24.13 gamma=24.13
Sites, in units of the cell vectors:
Pb: 0.5000 0.5000 0.5000
F: 0.0825 0.0825 0.0825
F: 0.9175 0.9175 0.9175
Ni: 0.0000 0.0000 0.0000

***

## D
The following is a DFT calculation (GGA+U) of an optimized crystal structure of NiPbF2.

Computed properties:
Symmetry   R-3m, No. 166
D(E_F)   0.6 states/eV per cell
ρ   6.6 Mg/m³
Magnetization   1.97 μB/f.u.

Unit cell a=8.7753 b=8.7753 c=8.7753 alpha=21.02 beta=21.02 gamma=21.02
Sites, in units of the cell vectors:
Ni: 0.5000 0.5000 0.5000
F: 0.1301 0.1301 0.1301
Pb: 0.0000 0.0000 0.0000
F: 0.8699 0.8699 0.8699

***

The data favor D; the next most stable structure lies 326 meV per atom above it.